Below is crystalline CeThCo at its relaxed geometry, with properties calculated at the GGA-PBE level.

For the formation energy, the calculation gives -0.061 eV/atom. The density of states at the Fermi level comes out at 7.54 states/eV per cell. The value obtained for the energy above the most stable polymorph in this dataset is 0.0859 eV/atom. The calculation puts the electronic total energy at -6.881 eV/atom.

The structure belongs to space group I4mm (No. 107); the cell edges are 3.5587, 3.5587 and 10.5701 Å and the angles 90.00°, 90.00° and 90.00°. The inequivalent atoms are Ce at (0.0000, 0.0000, 0.0000), Th at (0.0000, 0.0000, 0.2947) and Co at (0.0000, 0.0000, 0.6552).